No. 1
DFT (PBE) results for a relaxed structure of LaTaBiAu2.

```
LaTaBiAu2
1.0
-0.3873 -5.2356 0.8343
3.2732 0.4357 4.2536
-4.2032 0.8130 3.1511
La Au Bi Ta
1 2 1 1
Cartesian
-0.6586 -1.9934 4.1195
-2.1016 0.4065 1.5756
-0.1936 -2.6178 0.4172
0.0000 0.0000 0.0000
1.6366 0.2179 2.1268
```

Results
The energy of formation from the pure elements is 0.765 eV/atom. As for the space group: P4/mmm (123).

No. 2
DFT (PBE) results for a relaxed structure of YTmTc4.

```
YTmTc4
1.0
5.3905 0.0000 0.0000
2.6953 4.6683 0.0000
2.6953 1.5561 4.4013
Y Tm Tc
1 1 4
Cartesian
2.6953 1.5561 1.1003
0.0000 0.0000 0.0000
5.3905 3.1122 0.5490
5.3905 1.5550 2.7512
6.7391 3.8908 2.7512
4.0420 3.8908 2.7512
```

Results
The energy of formation from the pure elements is -0.170 eV/atom. As for the space group: F-43m (216).

No. 3
DFT (PBE) results for a relaxed structure of ZnAg2Mo.

```
ZnAg2Mo
1.0
-5.3842 -4.7651 -1.7417
0.1253 -2.6637 6.9006
-4.4853 -1.8876 3.3184
Mo Zn Ag
2 2 4
Cartesian
0.0000 0.0000 0.0000
-6.2494 -5.1836 2.0781
-2.6294 -3.7144 2.5795
-3.4947 -4.1329 6.3992
-4.3375 -3.6651 0.6467
-1.8493 -2.8503 4.8816
-5.3329 -4.2674 4.5942
-7.9686 -7.8500 6.8320
```

Results
The energy of formation from the pure elements is 0.837 eV/atom. As for the space group: I-42d (122).

No. 4
DFT (PBE) results for a relaxed structure of Te5Se3.

```
Te5Se3
1.0
-0.7048 -8.0922 -0.8980
7.2433 3.2879 1.8740
-1.6510 -0.7008 7.6112
Te Se
10 6
Cartesian
4.5940 -0.5055 0.9500
1.1191 -4.6493 3.8316
1.9446 -4.2989 0.0260
3.7685 -0.8559 4.7556
-0.5647 -1.9203 1.7091
-1.7910 -6.8727 5.0040
1.1493 0.5338 2.3069
4.7158 -3.9435 2.6683
0.1718 -1.5617 5.9188
4.4430 2.0532 7.1782
-0.8108 -4.7453 1.3957
-1.5450 -4.0478 5.3175
3.6779 1.6816 2.9611
2.4332 -2.2663 2.3276
2.4544 -3.2389 6.2596
1.9144 0.9054 6.5240
```

Results
The value obtained for the uncorrected formation energy is 308 meV per atom. The calculation puts the energy above the most stable polymorph in this dataset at 134.9 meV/atom. As for the space group: P6_3/mcm (193).

No. 5
DFT (PBE) results for a relaxed structure of La9Sm4Er.

```
La9Sm4Er
1.0
11.6328 0.0000 0.0000
0.0000 8.7161 -5.0322
0.0000 0.0000 10.0645
La Sm Er
18 8 2
Cartesian
0.3485 6.9088 1.9020
0.3485 6.9088 -1.9020
0.3485 3.6144 0.0000
11.2843 1.8072 3.1302
11.2843 1.8072 6.9342
11.2843 5.1016 5.0322
6.1649 1.8072 3.1302
6.1649 1.8072 6.9342
6.1649 5.1016 5.0322
5.4679 6.9088 1.9020
5.4679 6.9088 -1.9020
5.4679 3.6144 0.0000
2.9082 4.0136 6.9517
2.9082 4.0136 3.1127
2.9082 0.6889 5.0322
8.7246 4.7025 -1.9195
8.7246 4.7025 1.9195
8.7246 8.0271 0.0000
2.9082 0.9749 1.6887
2.9082 0.9749 8.3758
2.9082 6.7662 5.0322
8.7246 7.7411 3.3436
8.7246 7.7411 -3.3436
8.7246 1.9499 0.0000
0.0000 0.0000 0.0000
5.8164 0.0000 0.0000
2.9082 5.8107 0.0000
8.7246 2.9054 5.0322
```

Results
The energy of formation from the pure elements is 0.143 eV/atom. As for the space group: P6_3/mmc (194).

No. 6
DFT (PBE) results for a relaxed structure of CuIr2Se.

```
CuIr2Se
1.0
-1.0019 2.5871 0.0359
-1.3437 -1.9713 -1.4167
-4.8275 -1.9711 7.3215
Cu Ir Se
1 2 1
Cartesian
-4.7935 -1.1704 4.8007
-4.7795 -1.9515 7.2487
-2.4618 -1.0051 3.7335
-2.3797 -0.1848 1.1400
```

Results
The value obtained for the uncorrected formation energy is 494 meV per atom. As for the space group: Cmmm (65).

Number 1: energy -23.4 eV/cell. Number 2: energy -53.4 eV/cell. Number 3: energy -28.9 eV/cell. Number 4: energy -47.4 eV/cell. Number 5: energy -131.6 eV/cell. Number 6: energy -23.3 eV/cell.